# 1
TbPm2Nd6Ho: optimized geometry, PBE-GGA.

a b c (Å): 9.251 15.423 9.812
angles (deg): 90.00 98.23 90.00
Space group C2/c (No. 15)
Asymmetric unit:
Tb  0.000  0.022  0.250 x4
Pm  0.247  0.050  0.543 x8
Nd  0.062  0.183  0.945 x8
Nd  0.102  0.395  0.119 x8
Nd  0.208  0.222  0.311 x8
Ho  0.000  0.409  0.750 x4

ΔH_f (0 K) in eV/atom: 0.1139
Theoretical density in Mg/m³: 7.1

=====

# 2
CdCoPb2: optimized geometry, PBE-GGA.

a b c (Å): 4.372 4.372 9.729
angles (deg): 90.00 90.00 90.00
Space group I-4m2 (No. 119)
Asymmetric unit:
Cd  0.000  0.000  0.000 x2
Co  0.000  0.500  0.750 x2
Pb  0.000  0.000  0.500 x2
Pb  0.000  0.500  0.250 x2

ΔH_f (0 K) in eV/atom: 0.5109
Theoretical density in Mg/m³: 10.5

=====

# 3
TiRuN: optimized geometry, PBE-GGA.

a b c (Å): 2.965 4.305 5.781
angles (deg): 85.20 75.17 89.88
Space group P1 (No. 1)
Asymmetric unit:
Ti  0.000  0.000  0.000 x1
Ti  0.254  0.007  0.492 x1
Ru  0.616  0.480  0.766 x1
Ru  0.856  0.509  0.282 x1
N  0.425  0.263  0.147 x1
N  0.631  0.979  0.738 x1

Theoretical density in Mg/m³: 7.6
Distance to the lowest polymorph of the same formula in meV/atom: 199.7

=====

The following D(E_F) values (in states/eV/cell) correspond, in order, to the records above: 58.0, 11.1, 4.8.
The following E_tot values (in eV for the cell shown) correspond, in order, to the records above: -184.7, -26.8, -54.8.